[1]
BaHoB12 | PBE-GGA | relaxed

Cell lengths 4.1792, 4.1792, 8.3613 Å; angles 90.00, 90.00, 90.00 degrees
Sites, in units of the cell vectors:
Ba 0.0000 0.0000 0.0000
Ho 0.0000 0.0000 0.5000
B 0.2012 0.5000 0.2570
B 0.2012 0.5000 0.7430
B 0.5000 0.2012 0.2570
B 0.5000 0.2012 0.7430
B 0.5000 0.5000 0.1046
B 0.5000 0.5000 0.4027
B 0.5000 0.5000 0.5973
B 0.5000 0.5000 0.8954
B 0.5000 0.7988 0.2570
B 0.5000 0.7988 0.7430
B 0.7988 0.5000 0.2570
B 0.7988 0.5000 0.7430

Calculated values
Total magnetic moment, μB per formula unit: 0.000
V, Å³/atom: 10.4
E_form, kcal/mol of atoms: -9.3
SG: No. 123
Uncorrected energy, eV per atom: -6.5927

=====

[2]
LiPr2Th | PBE-GGA | relaxed

Cell lengths 12.5553, 12.5553, 12.5553 Å; angles 16.40, 16.40, 16.40 degrees
Sites, in units of the cell vectors:
Li 0.0000 0.0000 0.0000
Pr 0.0896 0.0896 0.0896
Pr 0.9104 0.9104 0.9104
Th 0.5000 0.5000 0.5000

Calculated values
Total magnetic moment, μB per formula unit: 0.000
V, Å³/atom: 34.4
E_form, kcal/mol of atoms: 3.6
SG: No. 166
Uncorrected energy, eV per atom: -4.5658
Energy relative to the lowest polymorph listed for this composition, eV per atom: 0.121

=====

[3]
KAlPt3 | PBE-GGA | relaxed

Cell lengths 4.9337, 4.9337, 4.9337 Å; angles 90.00, 90.00, 90.00 degrees
Sites, in units of the cell vectors:
K 0.0000 0.0000 0.0000
Al 0.5000 0.5000 0.5000
Pt 0.0000 0.0000 0.5000
Pt 0.0000 0.5000 0.0000
Pt 0.5000 0.0000 0.0000

Calculated values
Total magnetic moment, μB per formula unit: 0.000
V, Å³/atom: 24.0
E_form, kcal/mol of atoms: 43.9
SG: No. 221
Uncorrected energy, eV per atom: -2.6901
Energy relative to the lowest polymorph listed for this composition, eV per atom: 1.837

=====

[4]
CaY2Br2 | PBE-GGA | relaxed

Cell lengths 7.9056, 7.9056, 7.9056 Å; angles 145.93, 145.93, 48.95 degrees
Sites, in units of the cell vectors:
Ca 0.0000 0.0000 0.0000
Y 0.2500 0.7500 0.5000
Y 0.7500 0.2500 0.5000
Br 0.3884 0.3884 0.0000
Br 0.6116 0.6116 0.0000

Calculated values
Total magnetic moment, μB per formula unit: 0.898
V, Å³/atom: 30.9
SG: No. 139
Uncorrected energy, eV per atom: -4.2105
Energy relative to the lowest polymorph listed for this composition, eV per atom: 0.023
Energy relative to the elements, uncorrected, eV per atom: -0.555